[1]
Below is a relaxed Rb2Zn4Bi crystal, with properties calculated at the PBE level.

Properties
As for the space group: I4/mmm, No. 139.

a b c (Å): 5.680 5.680 10.160
angles (deg): 73.77 73.77 90.00
Sites, in units of the cell vectors:
Bi 0.000 0.000 0.000
Zn 0.830 0.830 0.340
Zn 0.500 0.000 0.000
Zn 0.000 0.500 0.000
Zn 0.170 0.170 0.660
Rb 0.636 0.636 0.729
Rb 0.364 0.364 0.271

---

[2]
Below is a relaxed RbZnBi crystal, with properties calculated at the PBE level.

Properties
As for the space group: P-6m2, No. 187.

a b c (Å): 5.800 4.761 4.761
angles (deg): 120.00 90.00 90.00
Sites, in units of the cell vectors:
Zn 0.167 0.667 0.333
Rb 0.667 0.333 0.667
Bi 0.166 0.000 0.000

---

The following VASP energy values (in eV per atom) correspond, in order, to the records above: -1.301; -2.317.
The following DFT formation energy values (in eV per atom) correspond, in order, to the records above: 0.26; -0.28.